Record 1
A plane-wave DFT calculation with PBE was carried out for a relaxed Er2Zn5Cu5 crystal.

a = 4.0771 Å, b = 5.1614 Å, c = 9.0584 Å
α = 90.00°, β = 90.00°, γ = 90.00°
Last column: nearest neighbours and their distance in Å.
Space group Pmmm (No. 47)
Inequivalent atoms, fractional coordinates:
Er: 0.0000 0.0000 0.0000 x1  6 Zn 2.95-2.99, 12 Cu 3.29-3.30
Er: 0.0000 0.5000 0.5000 x1  10 Zn 3.02-3.29, 8 Cu 3.31
Zn: 0.0000 0.0000 0.3261 x2  4 Cu 2.52, 2 Zn 2.58
Zn: 0.0000 0.5000 0.1668 x2  6 Cu 2.52-2.54
Zn: 0.5000 0.0000 0.5000 x1  4 Zn 2.58, 4 Cu 2.62
Cu: 0.5000 0.2516 0.2487 x4  5 Zn 2.52-2.62, 3 Cu 2.56-2.60
Cu: 0.5000 0.5000 0.0000 x1  4 Zn 2.54, 4 Cu 2.59

- Total DFT energy (no corrections): -38.93 eV per cell
- Volume: 191 Å³ per cell
- D(E_F): 5.11 states/eV/cell
- Crystal system: orthorhombic
- Energy above the lowest structure with this stoichiometry: 0.47 eV/f.u.
- Formation energy: -246 meV per atom

***

Record 2
A plane-wave DFT calculation with PBE was carried out for a relaxed YReAg2 crystal.

a = 3.0517 Å, b = 5.1097 Å, c = 9.9051 Å
α = 90.00°, β = 90.00°, γ = 90.00°
Last column: nearest neighbours and their distance in Å.
Space group Imm2 (No. 44)
Inequivalent atoms, fractional coordinates:
Y: 0.0000 0.0000 0.0000 x2  2 Re 2.93, 6 Ag 2.98-3.07, 2 Y 3.05
Re: 0.0000 0.5000 0.2476 x2  6 Ag 2.80-2.98, 2 Y 2.93, 2 Re 3.05
Ag: 0.0000 0.0000 0.5106 x2  2 Re 2.80, 4 Ag 2.83-3.05, 4 Y 2.98
Ag: 0.0000 0.5000 0.7694 x2  4 Ag 2.83-3.05, 4 Re 2.98, 2 Y 3.07

- Total DFT energy (no corrections): -45.43 eV per cell
- Volume: 154 Å³ per cell
- D(E_F): 5.64 states/eV/cell
- Crystal system: orthorhombic
- Energy above the lowest structure with this stoichiometry: 0.36 eV/f.u.
- Formation energy: 475 meV per atom